A relaxed La3TeBr crystal, computed with PBE-GGA.

The structure in POSCAR format:
```
La3TeBr
1.0
-5.0444 1.6711 -1.7443
0.2234 -3.6987 -4.1894
-2.4052 -3.8482 3.2692
Te Br La
1 1 3
Direct
0.5000 0.5000 0.5000
0.0000 0.0000 0.0000
0.0000 0.5000 0.0000
0.0000 0.0000 0.5000
0.5000 0.0000 0.0000
```

Computed properties:
Polymorph energy (0 for the lowest one): 0 meV/atom
Size of the total moment: 0.00 Bohr magnetons per cell
Space group: No. 221
Formation energy without anion corrections: -0.565 eV per atom

***

A relaxed LaTe2Br crystal, computed with PBE-GGA.

The structure in POSCAR format:
```
LaTe2Br
1.0
8.0676 0.1418 0.0055
4.9314 6.3866 -0.0055
-6.1663 -3.9276 3.4143
Te Br La
2 1 1
Direct
0.8836 0.8836 0.0000
0.2991 0.7991 0.5000
0.5881 0.5881 0.0000
0.7292 0.2292 0.5000
```

Computed properties:
Polymorph energy (0 for the lowest one): 68 meV/atom
Size of the total moment: 0.00 Bohr magnetons per cell
Space group: No. 44
Formation energy without anion corrections: -1.128 eV per atom

***

A relaxed LaTeBr4 crystal, computed with PBE-GGA.

The structure in POSCAR format:
```
LaTeBr4
1.0
-2.7580 1.4984 5.3756
-4.5212 4.2777 0.0922
-5.8883 -1.7173 1.0618
La Te Br
1 1 4
Direct
0.7500 0.7500 0.7500
0.0000 0.0000 0.0000
0.8745 0.3752 0.3752
0.3752 0.3752 0.8745
0.3752 0.8745 0.3752
0.3752 0.3752 0.3752
```

Computed properties:
Size of the total moment: 0.33 Bohr magnetons per cell
Space group: No. 216
Formation energy without anion corrections: -0.302 eV per atom

***

A relaxed LaTe3Br crystal, computed with PBE-GGA.

The structure in POSCAR format:
```
LaTe3Br
1.0
-5.3826 -0.7654 -1.0890
1.3297 -3.2981 -4.2543
-0.0605 -4.3910 3.3852
Te Br La
3 1 1
Direct
0.0000 0.5000 0.0000
0.0000 0.0000 0.5000
0.5000 0.0000 0.0000
0.0000 0.0000 0.0000
0.5000 0.5000 0.5000
```

Computed properties:
Polymorph energy (0 for the lowest one): 0 meV/atom
Size of the total moment: 0.00 Bohr magnetons per cell
Space group: No. 221
Formation energy without anion corrections: -0.152 eV per atom

***

A relaxed LaTe2Br crystal, computed with PBE-GGA.

The structure in POSCAR format:
```
LaTe2Br
1.0
-2.8117 0.9589 3.4202
-2.7509 -3.2938 -1.3380
2.8213 -3.7225 3.3630
Te Br La
2 1 1
Direct
0.0000 0.0000 0.0000
0.5000 0.5000 0.0000
0.5000 0.0000 0.5000
0.0000 0.5000 0.5000
```

Computed properties:
Polymorph energy (0 for the lowest one): 144 meV/atom
Size of the total moment: 0.00 Bohr magnetons per cell
Space group: No. 47
Formation energy without anion corrections: -1.052 eV per atom

***

A relaxed La2TeBr2 crystal, computed with PBE-GGA.

The structure in POSCAR format:
```
La2TeBr2
1.0
4.6528 0.0000 0.0000
0.0000 4.6528 0.0000
2.3264 2.3264 7.4843
Te Br La
1 2 2
Direct
0.0000 0.0000 0.0000
0.7500 0.2500 0.5000
0.2500 0.7500 0.5000
0.3867 0.3867 0.2266
0.6133 0.6133 0.7734
```

Computed properties:
Size of the total moment: 1.41 Bohr magnetons per cell
Space group: No. 139
Formation energy without anion corrections: -1.362 eV per atom

***

A relaxed LaTeBr crystal, computed with PBE-GGA.

The structure in POSCAR format:
```
LaTeBr
1.0
-1.7778 4.3955 -2.0731
-4.1853 2.2957 1.9979
0.4794 4.4583 2.5830
Te Br La
1 1 1
Direct
0.5000 0.5000 0.5000
0.7500 0.7500 0.7500
0.0000 0.0000 0.0000
```

Computed properties:
Size of the total moment: 0.00 Bohr magnetons per cell
Space group: No. 216
Formation energy without anion corrections: -1.188 eV per atom

***

A relaxed LaTe2Br crystal, computed with PBE-GGA.

The structure in POSCAR format:
```
LaTe2Br
1.0
-2.8633 0.8301 -3.2249
-2.0960 -3.7542 0.8946
-3.9187 3.2141 4.3066
Te Br La
2 1 1
Direct
0.0000 0.0000 0.9599
0.0000 0.0000 0.5401
0.5000 0.5000 0.2500
0.5000 0.5000 0.7500
```

Computed properties:
Polymorph energy (0 for the lowest one): 52 meV/atom
Size of the total moment: 0.00 Bohr magnetons per cell
Space group: No. 123
Formation energy without anion corrections: -1.143 eV per atom

***

> What is the formula in the sixth record?

La2TeBr2

***

> Which value of formation energy without anion corrections does entry 3 give?

-0.302 eV per atom